Model P:
A relaxed structure of AcMg2Cd9. Source: the Alexandria database, functional PBE-GGA.

Summary:
- Space group: P6/mmm (191)
- Calculated volume: 294.5 Å³ per cell
- Calculated density: 7.26 Mg/m³
- Size of the total moment: 0.000 μB/atom

Cell lengths 9.953, 9.953, 3.432 Å; angles 90.00, 90.00, 120.00 degrees
Atoms (fractional coordinates):
Ac 0.000 0.000 0.000
Mg 0.333 0.667 0.000
Mg 0.667 0.333 0.000
Cd 0.000 0.500 0.000
Cd 0.182 0.364 0.500
Cd 0.182 0.818 0.500
Cd 0.364 0.182 0.500
Cd 0.500 0.000 0.000
Cd 0.500 0.500 0.000
Cd 0.636 0.818 0.500
Cd 0.818 0.182 0.500
Cd 0.818 0.636 0.500

Model Q:
A relaxed structure of AcMg2Cd9. Source: the Alexandria database, functional PBE-GGA.

Summary:
- Space group: I4_1/amd (141)
- Calculated volume: 565.2 Å³ per cell
- Calculated density: 7.56 Mg/m³
- Size of the total moment: 0.000 μB/atom

Cell lengths 9.347, 9.347, 9.347 Å; angles 100.18, 100.18, 130.28 degrees
Atoms (fractional coordinates):
Ac 0.375 0.625 0.750
Ac 0.625 0.375 0.250
Mg 0.000 0.000 0.000
Mg 0.000 0.000 0.500
Mg 0.000 0.500 0.000
Mg 0.500 0.000 0.500
Cd 0.125 0.875 0.250
Cd 0.130 0.554 0.334
Cd 0.130 0.796 0.576
Cd 0.204 0.279 0.334
Cd 0.204 0.870 0.924
Cd 0.279 0.204 0.834
Cd 0.279 0.446 0.076
Cd 0.446 0.279 0.576
Cd 0.446 0.870 0.166
Cd 0.554 0.130 0.834
Cd 0.554 0.721 0.424
Cd 0.721 0.554 0.924
Cd 0.721 0.796 0.166
Cd 0.796 0.130 0.076
Cd 0.796 0.721 0.666
Cd 0.870 0.204 0.424
Cd 0.870 0.446 0.666
Cd 0.875 0.125 0.750

Relative energies, meV/atom: model P 102; model Q 0.

Model P:
A relaxed structure of Ac2MgCd5. Source: the Alexandria database, functional PBE-GGA.

Summary:
- Space group: Cmcm (63)
- Calculated volume: 460.0 Å³ per cell
- Calculated density: 7.51 Mg/m³
- Size of the total moment: 0.000 μB/atom

Cell lengths 9.459, 9.459, 10.176 Å; angles 90.00, 90.00, 149.66 degrees
Atoms (fractional coordinates):
Ac 0.000 0.000 0.000
Ac 0.000 0.000 0.500
Ac 0.203 0.797 0.750
Ac 0.797 0.203 0.250
Mg 0.445 0.555 0.250
Mg 0.555 0.445 0.750
Cd 0.187 0.813 0.106
Cd 0.187 0.813 0.394
Cd 0.353 0.647 0.025
Cd 0.353 0.647 0.475
Cd 0.401 0.599 0.750
Cd 0.599 0.401 0.250
Cd 0.647 0.353 0.525
Cd 0.647 0.353 0.975
Cd 0.813 0.187 0.606
Cd 0.813 0.187 0.894

Model Q:
A relaxed structure of Ac2MgCd5. Source: the Alexandria database, functional PBE-GGA.

Summary:
- Space group: I4/mmm (139)
- Calculated volume: 444.3 Å³ per cell
- Calculated density: 7.78 Mg/m³
- Size of the total moment: 0.001 μB/atom

Cell lengths 5.328, 5.328, 15.648 Å; angles 90.00, 90.00, 90.00 degrees
Atoms (fractional coordinates):
Ac 0.000 0.000 0.247
Ac 0.000 0.000 0.753
Ac 0.500 0.500 0.253
Ac 0.500 0.500 0.747
Mg 0.000 0.000 0.500
Mg 0.500 0.500 0.000
Cd 0.000 0.000 0.000
Cd 0.000 0.500 0.104
Cd 0.000 0.500 0.396
Cd 0.000 0.500 0.604
Cd 0.000 0.500 0.896
Cd 0.500 0.000 0.104
Cd 0.500 0.000 0.396
Cd 0.500 0.000 0.604
Cd 0.500 0.000 0.896
Cd 0.500 0.500 0.500

Relative energies, meV/atom: model P 0; model Q 70.

Model P:
A relaxed structure of AcNdMgCd. Source: the Alexandria database, functional PBE-GGA.

Summary:
- Space group: P4mm (99)
- Calculated volume: 126.5 Å³ per cell
- Calculated density: 6.67 Mg/m³
- Size of the total moment: 0.000 μB/atom

Cell lengths 3.985, 3.985, 7.965 Å; angles 90.00, 90.00, 90.00 degrees
Atoms (fractional coordinates):
Ac 0.000 0.000 0.000
Nd 0.000 0.000 0.498
Mg 0.500 0.500 0.727
Cd 0.500 0.500 0.276

Model Q:
A relaxed structure of AcNdMgCd. Source: the Alexandria database, functional PBE-GGA.

Summary:
- Space group: F-43m (216)
- Calculated volume: 505.7 Å³ per cell
- Calculated density: 6.67 Mg/m³
- Size of the total moment: 0.000 μB/atom

Cell lengths 7.967, 7.967, 7.967 Å; angles 90.00, 90.00, 90.00 degrees
Atoms (fractional coordinates):
Ac 0.000 0.000 0.000
Ac 0.000 0.500 0.500
Ac 0.500 0.000 0.500
Ac 0.500 0.500 0.000
Nd 0.000 0.000 0.500
Nd 0.000 0.500 0.000
Nd 0.500 0.000 0.000
Nd 0.500 0.500 0.500
Mg 0.250 0.250 0.750
Mg 0.250 0.750 0.250
Mg 0.750 0.250 0.250
Mg 0.750 0.750 0.750
Cd 0.250 0.250 0.250
Cd 0.250 0.750 0.750
Cd 0.750 0.250 0.750
Cd 0.750 0.750 0.250

Relative energies, meV/atom: model P 0; model Q 16.

Model P:
A relaxed structure of AcTmMgCd. Source: the Alexandria database, functional PBE-GGA.

Summary:
- Space group: F-43m (216)
- Calculated volume: 482.8 Å³ per cell
- Calculated density: 7.33 Mg/m³
- Size of the total moment: 0.000 μB/atom

Cell lengths 7.845, 7.845, 7.845 Å; angles 90.00, 90.00, 90.00 degrees
Atoms (fractional coordinates):
Ac 0.000 0.000 0.000
Ac 0.000 0.500 0.500
Ac 0.500 0.000 0.500
Ac 0.500 0.500 0.000
Tm 0.000 0.000 0.500
Tm 0.000 0.500 0.000
Tm 0.500 0.000 0.000
Tm 0.500 0.500 0.500
Mg 0.250 0.250 0.250
Mg 0.250 0.750 0.750
Mg 0.750 0.250 0.750
Mg 0.750 0.750 0.250
Cd 0.250 0.250 0.750
Cd 0.250 0.750 0.250
Cd 0.750 0.250 0.250
Cd 0.750 0.750 0.750

Model Q:
A relaxed structure of AcTmMgCd. Source: the Alexandria database, functional PBE-GGA.

Summary:
- Space group: P4mm (99)
- Calculated volume: 119.5 Å³ per cell
- Calculated density: 7.40 Mg/m³
- Size of the total moment: 0.000 μB/atom

Cell lengths 3.862, 3.862, 8.016 Å; angles 90.00, 90.00, 90.00 degrees
Atoms (fractional coordinates):
Ac 0.000 0.000 0.000
Tm 0.000 0.000 0.507
Mg 0.500 0.500 0.286
Cd 0.500 0.500 0.710

Relative energies, meV/atom: model P 26; model Q 0.

Model P:
A relaxed structure of Ac4Cd2N. Source: the Alexandria database, functional PBE-GGA.

Summary:
- Space group: I4/mmm (139)
- Calculated volume: 471.9 Å³ per cell
- Calculated density: 8.07 Mg/m³
- Size of the total moment: 0.000 μB/atom

Cell lengths 5.399, 5.399, 16.188 Å; angles 90.00, 90.00, 90.00 degrees
Atoms (fractional coordinates):
Ac 0.000 0.000 0.166
Ac 0.000 0.000 0.834
Ac 0.000 0.500 0.000
Ac 0.000 0.500 0.500
Ac 0.500 0.000 0.000
Ac 0.500 0.000 0.500
Ac 0.500 0.500 0.334
Ac 0.500 0.500 0.666
Cd 0.000 0.000 0.371
Cd 0.000 0.000 0.629
Cd 0.500 0.500 0.129
Cd 0.500 0.500 0.871
N 0.000 0.000 0.000
N 0.500 0.500 0.500

Model Q:
A relaxed structure of Ac4Cd2N. Source: the Alexandria database, functional PBE-GGA.

Summary:
- Space group: P2_1/m (11)
- Calculated volume: 498.0 Å³ per cell
- Calculated density: 7.65 Mg/m³
- Size of the total moment: 0.000 μB/atom

Cell lengths 7.081, 7.585, 9.807 Å; angles 90.00, 109.00, 90.00 degrees
Atoms (fractional coordinates):
Ac 0.019 0.003 0.280
Ac 0.019 0.497 0.280
Ac 0.376 0.750 0.052
Ac 0.432 0.750 0.649
Ac 0.568 0.250 0.351
Ac 0.624 0.250 0.948
Ac 0.981 0.503 0.720
Ac 0.981 0.997 0.720
Cd 0.178 0.250 0.026
Cd 0.302 0.250 0.593
Cd 0.698 0.750 0.407
Cd 0.822 0.750 0.974
N 0.211 0.750 0.794
N 0.789 0.250 0.206

Relative energies, meV/atom: model P 11; model Q 0.

Model P:
A relaxed structure of Na3AcCd8. Source: the Alexandria database, functional PBE-GGA.

Summary:
- Space group: R3m (160)
- Calculated volume: 316.7 Å³ per cell
- Calculated density: 6.27 Mg/m³
- Size of the total moment: 0.000 μB/atom

Cell lengths 10.671, 10.671, 10.671 Å; angles 32.77, 32.77, 32.77 degrees
Atoms (fractional coordinates):
Na 0.000 0.000 0.000
Na 0.121 0.121 0.121
Na 0.629 0.629 0.629
Ac 0.502 0.502 0.502
Cd 0.061 0.563 0.563
Cd 0.065 0.065 0.565
Cd 0.065 0.565 0.065
Cd 0.314 0.314 0.314
Cd 0.563 0.061 0.563
Cd 0.563 0.563 0.061
Cd 0.565 0.065 0.065
Cd 0.813 0.813 0.813

Model Q:
A relaxed structure of Na3AcCd8. Source: the Alexandria database, functional PBE-GGA.

Summary:
- Space group: P3m1 (156)
- Calculated volume: 314.3 Å³ per cell
- Calculated density: 6.31 Mg/m³
- Size of the total moment: 0.000 μB/atom

Cell lengths 6.091, 6.091, 9.783 Å; angles 90.00, 90.00, 120.00 degrees
Atoms (fractional coordinates):
Na 0.000 0.000 0.000
Na 0.000 0.000 0.367
Na 0.333 0.667 0.887
Ac 0.333 0.667 0.505
Cd 0.006 0.503 0.189
Cd 0.325 0.162 0.694
Cd 0.497 0.503 0.189
Cd 0.497 0.994 0.189
Cd 0.667 0.333 0.441
Cd 0.667 0.333 0.941
Cd 0.838 0.162 0.694
Cd 0.838 0.675 0.694

Relative energies, meV/atom: model P 5; model Q 0.

Model P:
A relaxed structure of NaAc2Cd5. Source: the Alexandria database, functional PBE-GGA.

Summary:
- Space group: Cmcm (63)
- Calculated volume: 472.0 Å³ per cell
- Calculated density: 7.31 Mg/m³
- Size of the total moment: 0.000 μB/atom

Cell lengths 9.402, 9.402, 10.522 Å; angles 90.00, 90.00, 149.50 degrees
Atoms (fractional coordinates):
Na 0.048 0.952 0.750
Na 0.952 0.048 0.250
Ac 0.304 0.696 0.250
Ac 0.500 0.500 0.000
Ac 0.500 0.500 0.500
Ac 0.696 0.304 0.750
Cd 0.110 0.890 0.250
Cd 0.146 0.854 0.522
Cd 0.146 0.854 0.978
Cd 0.309 0.691 0.607
Cd 0.309 0.691 0.893
Cd 0.691 0.309 0.107
Cd 0.691 0.309 0.393
Cd 0.854 0.146 0.022
Cd 0.854 0.146 0.478
Cd 0.890 0.110 0.750

Model Q:
A relaxed structure of NaAc2Cd5. Source: the Alexandria database, functional PBE-GGA.

Summary:
- Space group: I4/mmm (139)
- Calculated volume: 460.6 Å³ per cell
- Calculated density: 7.49 Mg/m³
- Size of the total moment: 0.025 μB/atom

Cell lengths 5.442, 5.442, 15.550 Å; angles 90.00, 90.00, 90.00 degrees
Atoms (fractional coordinates):
Na 0.000 0.000 0.000
Na 0.500 0.500 0.500
Ac 0.000 0.000 0.259
Ac 0.000 0.000 0.741
Ac 0.500 0.500 0.241
Ac 0.500 0.500 0.759
Cd 0.000 0.000 0.500
Cd 0.000 0.500 0.106
Cd 0.000 0.500 0.394
Cd 0.000 0.500 0.606
Cd 0.000 0.500 0.894
Cd 0.500 0.000 0.106
Cd 0.500 0.000 0.394
Cd 0.500 0.000 0.606
Cd 0.500 0.000 0.894
Cd 0.500 0.500 0.000

Relative energies, meV/atom: model P 7; model Q 0.

Model P:
A relaxed structure of NaAc2Cd. Source: the Alexandria database, functional PBE-GGA.

Summary:
- Space group: P4/mmm (123)
- Calculated volume: 149.3 Å³ per cell
- Calculated density: 6.56 Mg/m³
- Size of the total moment: 0.000 μB/atom

Cell lengths 4.113, 4.113, 8.828 Å; angles 90.00, 90.00, 90.00 degrees
Atoms (fractional coordinates):
Na 0.000 0.000 0.000
Ac 0.500 0.500 0.279
Ac 0.500 0.500 0.721
Cd 0.000 0.000 0.500

Model Q:
A relaxed structure of NaAc2Cd. Source: the Alexandria database, functional PBE-GGA.

Summary:
- Space group: R-3m (166)
- Calculated volume: 500.6 Å³ per cell
- Calculated density: 5.86 Mg/m³
- Size of the total moment: 0.000 μB/atom

Cell lengths 3.875, 3.875, 38.498 Å; angles 90.00, 90.00, 120.00 degrees
Atoms (fractional coordinates):
Na 0.000 0.000 0.000
Na 0.333 0.667 0.667
Na 0.667 0.333 0.333
Ac 0.000 0.000 0.099
Ac 0.000 0.000 0.901
Ac 0.333 0.667 0.568
Ac 0.333 0.667 0.765
Ac 0.667 0.333 0.235
Ac 0.667 0.333 0.432
Cd 0.000 0.000 0.500
Cd 0.333 0.667 0.167
Cd 0.667 0.333 0.833

Relative energies, meV/atom: model P 0; model Q 153.

Model P:
A relaxed structure of Ac2Nd2Cd. Source: the Alexandria database, functional PBE-GGA.

Summary:
- Space group: I4/mmm (139)
- Calculated volume: 369.3 Å³ per cell
- Calculated density: 7.69 Mg/m³
- Size of the total moment: 0.000 μB/atom

Cell lengths 3.923, 3.923, 23.992 Å; angles 90.00, 90.00, 90.00 degrees
Atoms (fractional coordinates):
Ac 0.000 0.000 0.089
Ac 0.000 0.000 0.911
Ac 0.500 0.500 0.411
Ac 0.500 0.500 0.589
Nd 0.000 0.000 0.300
Nd 0.000 0.000 0.700
Nd 0.500 0.500 0.200
Nd 0.500 0.500 0.800
Cd 0.000 0.000 0.500
Cd 0.500 0.500 0.000

Model Q:
A relaxed structure of Ac2Nd2Cd. Source: the Alexandria database, functional PBE-GGA.

Summary:
- Space group: C2/m (12)
- Calculated volume: 366.9 Å³ per cell
- Calculated density: 7.74 Mg/m³
- Size of the total moment: 0.000 μB/atom

Cell lengths 6.760, 6.760, 8.950 Å; angles 105.99, 105.99, 98.40 degrees
Atoms (fractional coordinates):
Ac 0.111 0.731 0.774
Ac 0.269 0.889 0.226
Ac 0.731 0.111 0.774
Ac 0.889 0.269 0.226
Nd 0.218 0.218 0.622
Nd 0.348 0.348 0.075
Nd 0.652 0.652 0.925
Nd 0.782 0.782 0.378
Cd 0.357 0.643 0.500
Cd 0.643 0.357 0.500

Relative energies, meV/atom: model P 0; model Q 91.

Model P:
A relaxed structure of AcNd6Cd2. Source: the Alexandria database, functional PBE-GGA.

Summary:
- Space group: C2/m (12)
- Calculated volume: 302.8 Å³ per cell
- Calculated density: 7.22 Mg/m³
- Size of the total moment: 0.000 μB/atom

Cell lengths 6.875, 6.875, 12.405 Å; angles 107.57, 107.57, 32.96 degrees
Atoms (fractional coordinates):
Ac 0.000 0.000 0.000
Nd 0.016 0.016 0.339
Nd 0.313 0.313 0.126
Nd 0.314 0.314 0.418
Nd 0.686 0.686 0.582
Nd 0.687 0.687 0.874
Nd 0.984 0.984 0.661
Cd 0.346 0.346 0.779
Cd 0.654 0.654 0.221

Model Q:
A relaxed structure of AcNd6Cd2. Source: the Alexandria database, functional PBE-GGA.

Summary:
- Space group: C2/c (15)
- Calculated volume: 595.1 Å³ per cell
- Calculated density: 7.35 Mg/m³
- Size of the total moment: 0.000 μB/atom

Cell lengths 10.044, 10.044, 6.245 Å; angles 95.77, 95.77, 72.20 degrees
Atoms (fractional coordinates):
Ac 0.111 0.889 0.750
Ac 0.889 0.111 0.250
Nd 0.029 0.726 0.195
Nd 0.107 0.354 0.334
Nd 0.274 0.971 0.305
Nd 0.327 0.554 0.489
Nd 0.354 0.107 0.834
Nd 0.446 0.673 0.011
Nd 0.554 0.327 0.989
Nd 0.646 0.893 0.166
Nd 0.673 0.446 0.511
Nd 0.726 0.029 0.695
Nd 0.893 0.646 0.666
Nd 0.971 0.274 0.805
Cd 0.208 0.464 0.902
Cd 0.464 0.208 0.402
Cd 0.536 0.792 0.598
Cd 0.792 0.536 0.098

Relative energies, meV/atom: model P 0; model Q 63.

Model P:
A relaxed structure of Ac4NdCd. Source: the Alexandria database, functional PBE-GGA.

Summary:
- Space group: P4/mmm (123)
- Calculated volume: 268.8 Å³ per cell
- Calculated density: 7.20 Mg/m³
- Size of the total moment: 0.000 μB/atom

Cell lengths 5.760, 5.760, 8.101 Å; angles 90.00, 90.00, 90.00 degrees
Atoms (fractional coordinates):
Ac 0.000 0.500 0.243
Ac 0.000 0.500 0.757
Ac 0.500 0.000 0.243
Ac 0.500 0.000 0.757
Nd 0.000 0.000 0.500
Cd 0.500 0.500 0.000

Model Q:
A relaxed structure of Ac4NdCd. Source: the Alexandria database, functional PBE-GGA.

Summary:
- Space group: P4/mmm (123)
- Calculated volume: 237.7 Å³ per cell
- Calculated density: 8.14 Mg/m³
- Size of the total moment: 0.000 μB/atom

Cell lengths 3.973, 3.973, 15.057 Å; angles 90.00, 90.00, 90.00 degrees
Atoms (fractional coordinates):
Ac 0.000 0.000 0.141
Ac 0.000 0.000 0.859
Ac 0.500 0.500 0.328
Ac 0.500 0.500 0.672
Nd 0.000 0.000 0.500
Cd 0.500 0.500 0.000

Relative energies, meV/atom: model P 367; model Q 0.